No. 1
This record from Alexandria describes an optimized crystal structure of Ce2In2Ag3. The functional is PBE.

Unit cell a=12.0560 b=12.0560 c=3.1111 alpha=90.00 beta=90.00 gamma=158.38
Positions (direct):
1 Ce 0.1370 0.8630 0.0000
2 Ce 0.8630 0.1370 0.0000
3 In 0.2874 0.7126 0.5000
4 In 0.7126 0.2874 0.5000
5 Ag 0.0000 0.0000 0.0000
6 Ag 0.4410 0.5590 0.5000
7 Ag 0.5590 0.4410 0.5000

Results
Energy relative to the lowest polymorph listed for this composition ... 47.1 meV/atom
Magnetic moment ... 2.65 μB per cell
DFT formation energy ... -0.1157 eV/atom
Electronic total energy ... -3.815 eV per atom
Calculated volume ... 23.80 Å³ per atom



No. 2
This record from Alexandria describes an optimized crystal structure of Ce2InAg. The functional is PBE.

Unit cell a=3.2673 b=3.2673 c=9.3831 alpha=90.00 beta=90.00 gamma=90.00
Positions (direct):
1 Ce 0.0000 0.0000 0.2398
2 Ce 0.0000 0.0000 0.7602
3 In 0.5000 0.5000 0.5000
4 Ag 0.5000 0.5000 0.0000

Results
Magnetic moment ... 0.98 μB per cell
DFT formation energy ... -0.2163 eV/atom
Electronic total energy ... -4.581 eV per atom
Calculated volume ... 25.04 Å³ per atom



No. 3
This record from Alexandria describes an optimized crystal structure of Ce2InAg5. The functional is PBE.

Unit cell a=8.8195 b=8.8195 c=9.9355 alpha=90.00 beta=90.00 gamma=150.43
Positions (direct):
1 Ce 0.0000 0.0000 0.0000
2 Ce 0.0000 0.0000 0.5000
3 Ce 0.1963 0.8037 0.7500
4 Ce 0.8037 0.1963 0.2500
5 In 0.4534 0.5466 0.2500
6 In 0.5466 0.4534 0.7500
7 Ag 0.1924 0.8076 0.1083
8 Ag 0.1924 0.8076 0.3917
9 Ag 0.3558 0.6442 0.0288
10 Ag 0.3558 0.6442 0.4712
11 Ag 0.3872 0.6128 0.7500
12 Ag 0.6128 0.3872 0.2500
13 Ag 0.6442 0.3558 0.5288
14 Ag 0.6442 0.3558 0.9712
15 Ag 0.8076 0.1924 0.6083
16 Ag 0.8076 0.1924 0.8917

Results
Magnetic moment ... 4.37 μB per cell
DFT formation energy ... -0.1055 eV/atom
Electronic total energy ... -3.713 eV per atom
Calculated volume ... 23.83 Å³ per atom